Entry from Alexandria: a geometry-optimized Mg2In2Pd structure (PBE-GGA).

Lattice parameters (Å, degrees): 6.9791 6.9791 4.5240 90.00 90.00 90.00
Positions (direct):
Mg: 0.1522 0.3478 0.0000
Mg: 0.3478 0.8478 0.0000
Mg: 0.6522 0.1522 0.0000
Mg: 0.8478 0.6522 0.0000
In: 0.1613 0.6613 0.5000
In: 0.3387 0.1613 0.5000
In: 0.6613 0.8387 0.5000
In: 0.8387 0.3387 0.5000
Pd: 0.0000 0.0000 0.0000
Pd: 0.5000 0.5000 0.0000

Values from the calculation:
Calculated total energy   -2.878 eV per atom
Excess energy over the best structure of this formula in the dataset   216 meV per atom
Calculated formation energy   -106 meV/atom